1.
CsNa2Ge2 | PBE | optimized geometry

Cell: 6.4922 6.4922 6.4922 Å, 128.74 128.74 75.44°
Last column: nearest neighbours and their distance in Å.
Sites, in units of the cell vectors:
Cs (0.0000, 0.0000, 0.0000)  8 Na 3.81, 10 Ge 3.97-4.14
Na (0.2500, 0.7500, 0.5000)  4 Ge 3.14
Na (0.7500, 0.2500, 0.5000)  4 Ge 3.14
Ge (0.3869, 0.3869, 0.0000)  1 Ge 2.32
Ge (0.6131, 0.6131, 0.0000)  1 Ge 2.32

## Properties
energy relative to the elements: -0.09 eV/atom
relative energy among the computed polymorphs: 0 meV per atom
total magnetization: 0.00 Bohr magnetons per cell
energy: -13.15 eV per formula unit
volume: 162.0 Å³/f.u.
crystal system: tetragonal

2.
La8Ag2Ir3 | PBE | optimized geometry

Cell: 8.8998 4.7859 9.9256 Å, 90.00 101.52 90.00°
Last column: nearest neighbours and their distance in Å.
Sites, in units of the cell vectors:
La (0.0316, 0.0000, 0.3306)  3 Ir 2.90-2.97, 2 Ag 3.18
La (0.1628, 0.5000, 0.9207)  2 Ir 2.90
La (0.3163, 0.5000, 0.6090)  1 Ir 2.81
La (0.4063, 0.0000, 0.1461)  1 Ir 2.70
La (0.5937, 0.0000, 0.8539)  1 Ir 2.70
La (0.6837, 0.5000, 0.3910)  1 Ir 2.81
La (0.8372, 0.5000, 0.0793)  2 Ir 2.90
La (0.9684, 0.0000, 0.6694)  3 Ir 2.90-2.97, 2 Ag 3.18
Ag (0.2398, 0.5000, 0.2638)  6 La 3.16-3.36, 1 Ir 3.47
Ag (0.7602, 0.5000, 0.7362)  6 La 3.16-3.36, 1 Ir 3.47
Ir (0.0000, 0.5000, 0.5000)  6 La 2.81-2.97
Ir (0.2844, 0.0000, 0.8162)  4 La 2.70-2.90
Ir (0.7156, 0.0000, 0.1838)  4 La 2.70-2.90

## Properties
energy relative to the elements: -0.43 eV/atom
total magnetization: 0.00 Bohr magnetons per cell
energy: -77.29 eV per formula unit
volume: 414.3 Å³/f.u.
crystal system: monoclinic

3.
Ba2SrGa | PBE | optimized geometry

Cell: 7.9793 7.9793 11.2642 Å, 90.00 90.00 148.19°
Last column: nearest neighbours and their distance in Å.
Sites, in units of the cell vectors:
Ba (0.1409, 0.8591, 0.5712)  2 Ga 3.46
Ba (0.1409, 0.8591, 0.9288)  2 Ga 3.46
Ba (0.8591, 0.1409, 0.0712)  2 Ga 3.46
Ba (0.8591, 0.1409, 0.4288)  2 Ga 3.46
Sr (0.4170, 0.5830, 0.7500)  2 Ga 3.29
Sr (0.5830, 0.4170, 0.2500)  2 Ga 3.29
Ga (0.2432, 0.7568, 0.2500)  2 Sr 3.29, 4 Ba 3.46
Ga (0.7568, 0.2432, 0.7500)  2 Sr 3.29, 4 Ba 3.46

## Properties
energy relative to the elements: -0.17 eV/atom
relative energy among the computed polymorphs: 13 meV per atom
total magnetization: 0.00 Bohr magnetons per cell
energy: -9.24 eV per formula unit
volume: 189.0 Å³/f.u.
crystal system: orthorhombic

4.
Cd3FeRe | PBE | optimized geometry

Cell: 5.2086 5.2086 5.2086 Å, 90.00 90.00 90.00°
Last column: nearest neighbours and their distance in Å.
Sites, in units of the cell vectors:
Cd (0.0000, 0.0000, 0.5000)  2 Re 2.60
Cd (0.0000, 0.5000, 0.0000)  2 Re 2.60
Cd (0.5000, 0.0000, 0.0000)  2 Re 2.60
Fe (0.5000, 0.5000, 0.5000)  12 Cd 3.68
Re (0.0000, 0.0000, 0.0000)  6 Cd 2.60

## Properties
energy relative to the elements: 1.59 eV/atom
relative energy among the computed polymorphs: 70 meV per atom
total magnetization: 4.92 Bohr magnetons per cell
energy: -15.72 eV per formula unit
volume: 141.3 Å³/f.u.
crystal system: cubic

5.
Ba3AlGe2 | PBE | optimized geometry

Cell: 8.9659 10.0911 10.5019 Å, 90.00 112.03 90.00°
Last column: nearest neighbours and their distance in Å.
Sites, in units of the cell vectors:
Ba (0.2049, 0.1907, 0.3256)  4 Ge 3.24-3.37, 2 Al 3.53-3.54
Ba (0.2049, 0.3093, 0.8256)  4 Ge 3.24-3.37, 2 Al 3.53-3.54
Ba (0.2375, 0.5357, 0.1524)  4 Ge 3.41-3.77, 2 Al 3.54-3.70
Ba (0.2375, 0.9643, 0.6524)  4 Ge 3.41-3.77, 2 Al 3.54-3.70
Ba (0.2704, 0.5953, 0.5459)  3 Ge 3.38-3.58, 2 Al 3.59-3.74
Ba (0.2704, 0.9047, 0.0459)  3 Ge 3.38-3.58, 2 Al 3.59-3.74
Ba (0.7296, 0.0953, 0.9541)  3 Ge 3.38-3.58, 2 Al 3.59-3.74
Ba (0.7296, 0.4047, 0.4541)  3 Ge 3.38-3.58, 2 Al 3.59-3.74
Ba (0.7625, 0.0357, 0.3476)  4 Ge 3.41-3.77, 2 Al 3.54-3.70
Ba (0.7625, 0.4643, 0.8476)  4 Ge 3.41-3.77, 2 Al 3.54-3.70
Ba (0.7951, 0.6907, 0.1744)  4 Ge 3.24-3.37, 2 Al 3.53-3.54
Ba (0.7951, 0.8093, 0.6744)  4 Ge 3.24-3.37, 2 Al 3.53-3.54
Al (0.4203, 0.6097, 0.9147)  2 Ge 2.48-2.52
Al (0.4203, 0.8903, 0.4147)  2 Ge 2.48-2.52
Al (0.5797, 0.1097, 0.5853)  2 Ge 2.48-2.52
Al (0.5797, 0.3903, 0.0853)  2 Ge 2.48-2.52
Ge (0.1187, 0.6343, 0.8115)  1 Al 2.52
Ge (0.1187, 0.8657, 0.3115)  1 Al 2.52
Ge (0.4315, 0.2081, 0.1452)  1 Al 2.48
Ge (0.4315, 0.2919, 0.6452)  1 Al 2.48
Ge (0.5685, 0.7081, 0.3548)  1 Al 2.48
Ge (0.5685, 0.7919, 0.8548)  1 Al 2.48
Ge (0.8813, 0.1343, 0.6885)  1 Al 2.52
Ge (0.8813, 0.3657, 0.1885)  1 Al 2.52

## Properties
energy relative to the elements: -0.43 eV/atom
relative energy among the computed polymorphs: 0 meV per atom
total magnetization: 0.00 Bohr magnetons per cell
energy: -21.34 eV per formula unit
volume: 220.2 Å³/f.u.
crystal system: monoclinic

6.
Pm2PaSb | PBE | optimized geometry

Cell: 5.4382 5.4382 5.4382 Å, 60.00 60.00 60.00°
Last column: nearest neighbours and their distance in Å.
Sites, in units of the cell vectors:
Pm (0.2500, 0.2500, 0.2500)  4 Sb 3.33, 4 Pa 3.33
Pm (0.7500, 0.7500, 0.7500)  4 Sb 3.33, 4 Pa 3.33
Pa (0.0000, 0.0000, 0.0000)  8 Pm 3.33
Sb (0.5000, 0.5000, 0.5000)  8 Pm 3.33

## Properties
ΔE_f (raw): -0.03 eV per atom
relative energy among the computed polymorphs: 273 meV per atom
total magnetization: 2.36 Bohr magnetons per cell
energy: -23.22 eV per formula unit
volume: 113.7 Å³/f.u.
crystal system: cubic

7.
SrPbI2 | PBE | optimized geometry

Cell: 7.5612 7.5612 7.5612 Å, 105.41 105.41 117.93°
Last column: nearest neighbours and their distance in Å.
Sites, in units of the cell vectors:
Sr (0.0000, 0.0000, 0.0000)  4 I 3.34
Sr (0.7500, 0.2500, 0.5000)  4 I 3.34
Pb (0.2500, 0.7500, 0.5000)  4 I 3.42
Pb (0.5000, 0.5000, 0.0000)  4 I 3.42
I (0.1187, 0.6250, 0.9937)  2 Sr 3.34, 2 Pb 3.42
I (0.3750, 0.3687, 0.4937)  2 Sr 3.34, 2 Pb 3.42
I (0.6313, 0.1250, 0.0063)  2 Sr 3.34, 2 Pb 3.42
I (0.8750, 0.8813, 0.5063)  2 Sr 3.34, 2 Pb 3.42

## Properties
ΔE_f (raw): -0.73 eV per atom
relative energy among the computed polymorphs: 0 meV per atom
total magnetization: 0.00 Bohr magnetons per cell
energy: -11.41 eV per formula unit
volume: 163.6 Å³/f.u.
crystal system: tetragonal